DFT (GGA-PBEsol) results for a geometry-optimized Sr2Cu3Cl2O4 structure.

Output
The value obtained for the total magnetization is 0.067 μB/atom. Its formation energy from raw total energies is -1.52 eV/atom. As for the space group: No. 139.

Cell lengths 7.359, 7.359, 7.359 Å; angles 136.85, 136.85, 62.68 degrees
Positions (direct):
Sr  0.140  0.140  0.000
Sr  0.860  0.860  0.000
Cu  0.000  0.500  0.500
Cu  0.500  0.000  0.500
Cu  0.500  0.500  0.000
Cl  0.250  0.750  0.500
Cl  0.750  0.250  0.500
O  0.249  0.249  0.497
O  0.249  0.751  0.000
O  0.751  0.249  0.000
O  0.751  0.751  0.503